Density functional theory data (PBE-GGA) for a geometry-optimized HfNi3Cl structure.

Cell: 4.215 4.215 4.215 Å, 90.00 90.00 90.00°
Sites, in units of the cell vectors:
Ni 0.500 0.000 0.000
Ni 0.000 0.000 0.500
Ni 0.000 0.500 0.000
Hf 0.500 0.500 0.500
Cl 0.000 0.000 0.000

## Properties
- crystal system = cubic
- raw formation energy (eV/atom) = 0.478
- relative energy among the computed polymorphs (eV/atom) = 0.000

Density functional theory data (PBE-GGA) for a geometry-optimized TmRu4C2 structure.

Cell: 3.775 3.831 6.881 Å, 106.16 90.00 90.00°
Sites, in units of the cell vectors:
Tm 0.000 0.000 0.000
Ru 0.500 0.174 0.348
Ru 0.500 0.826 0.652
Ru 0.000 0.323 0.647
Ru 0.000 0.677 0.353
C 0.500 0.389 0.777
C 0.500 0.611 0.223

## Properties
- crystal system = orthorhombic
- uncorrected energy (eV/atom) = -8.47

Density functional theory data (PBE-GGA) for a geometry-optimized Sn2SbH2Pd7 structure.

Cell: 4.073 4.073 10.982 Å, 82.98 82.98 90.06°
Sites, in units of the cell vectors:
Sn 0.124 0.124 0.621
Sn 0.876 0.876 0.379
Sb 0.000 0.000 0.000
Pd 0.500 0.500 0.000
Pd 0.625 0.625 0.609
Pd 0.562 0.059 0.806
Pd 0.941 0.438 0.194
Pd 0.438 0.941 0.194
Pd 0.059 0.562 0.806
Pd 0.375 0.375 0.391
H 0.530 0.530 0.814
H 0.470 0.470 0.186

## Properties
- crystal system = monoclinic
- uncorrected energy (eV/atom) = -4.94

D(E_F) values, unit states/eV/cell, following the record order: 4.51 5.76 5.46.